# YHgI

A geometry-optimized YHgI structure (PBE, the Alexandria database).

Values from the calculation:
* symmetry: P-1
* formation energy without anion corrections: -554 meV per atom
* D(E_F): 4.17 states/eV per cell

Cell lengths 3.986, 6.898, 7.903 Å; angles 108.01, 90.37, 106.69 degrees
Fractional positions:
Y1 0.130 0.260 0.443
Y2 0.870 0.740 0.557
Hg1 0.413 0.835 0.290
Hg2 0.587 0.165 0.710
I1 0.335 0.663 0.830
I2 0.665 0.337 0.170